1.
The following is a PBE-GGA calculation of a relaxed structure of Ac5Ge2RhO, from Alexandria.

Lattice parameters (Å, degrees): 4.540 9.446 13.331 90.00 90.00 103.91
Element x y z (fractional)
Ac 0.337 0.675 0.015
Ac 0.674 0.348 0.889
Ac 0.483 0.966 0.752
Ac 0.282 0.564 0.690
Ac 0.982 0.964 0.488
Ac 0.663 0.325 0.515
Ac 0.326 0.652 0.389
Ac 0.517 0.034 0.252
Ac 0.718 0.436 0.190
Ac 0.018 0.036 0.988
Ge 0.864 0.729 0.842
Ge 0.103 0.206 0.686
Ge 0.136 0.271 0.342
Ge 0.897 0.794 0.186
Rh 0.820 0.640 0.547
Rh 0.180 0.360 0.047
O 0.536 0.072 0.916
O 0.464 0.928 0.416

Output
E_form (uncorrected) (eV per atom): -1.093
Fermi-level density of states (states/eV/f.u.): 4.9
Total magnetization (μB/f.u.): 0.00
Symmetry: No. 36
E (eV per atom): -5.77

---

2.
The following is a PBE-GGA calculation of a relaxed structure of AcGeRuO6, from Alexandria.

Lattice parameters (Å, degrees): 5.185 5.185 10.764 90.00 90.00 120.00
Last column: magnetic moment on the atom in μB.
Element x y z (fractional)
Ac 0.000 0.000 0.000  0.03
Ac 0.000 0.000 0.500  0.03
Ge 0.667 0.333 0.250  0.03
Ge 0.333 0.667 0.750  0.03
Ru 0.333 0.667 0.250  1.93
Ru 0.667 0.333 0.750  1.93
O 0.626 0.618 0.149  0.12
O 0.993 0.374 0.149  0.12
O 0.374 0.993 0.649  0.12
O 0.007 0.626 0.851  0.12
O 0.382 0.374 0.351  0.12
O 0.993 0.618 0.351  0.12
O 0.618 0.993 0.851  0.12
O 0.626 0.007 0.351  0.12
O 0.007 0.382 0.649  0.12
O 0.382 0.007 0.149  0.12
O 0.618 0.626 0.649  0.12
O 0.374 0.382 0.851  0.12

Output
E_form (uncorrected) (eV per atom): -1.917
Fermi-level density of states (states/eV/f.u.): 2.9
Total magnetization (μB/f.u.): 2.99
Symmetry: No. 163
E (eV per atom): -7.22

---

- Among the records above, which one has the lowest Fermi-level density of states?
  AcGeRuO6